Entry 1:
Computed, not measured: a geometry-optimized Ba3Pt structure at the GGA-PBEsol level of DFT.

a b c (Å): 8.2048 11.0415 7.2801
angles (deg): 90.00 90.00 90.00
Closest atoms and distances in Å follow each position.
Fractional coordinates of all 16 atoms:
Ba1 0.0492 0.2500 0.1621  2 Pt 3.16-3.19
Ba2 0.1685 0.0741 0.6774  2 Pt 3.18-3.25
Ba3 0.1685 0.4259 0.6774  2 Pt 3.18-3.25
Ba4 0.3315 0.5741 0.1774  2 Pt 3.18-3.25
Ba5 0.3315 0.9259 0.1774  2 Pt 3.18-3.25
Ba6 0.4508 0.7500 0.6621  2 Pt 3.16-3.19
Ba7 0.5492 0.2500 0.3379  2 Pt 3.16-3.19
Ba8 0.6685 0.0741 0.8226  2 Pt 3.18-3.25
Ba9 0.6685 0.4259 0.8226  2 Pt 3.18-3.25
Ba10 0.8315 0.5741 0.3226  2 Pt 3.18-3.25
Ba11 0.8315 0.9259 0.3226  2 Pt 3.18-3.25
Ba12 0.9508 0.7500 0.8379  2 Pt 3.16-3.19
Pt1 0.1187 0.7500 0.4432  6 Ba 3.16-3.25
Pt2 0.3813 0.2500 0.9432  6 Ba 3.16-3.25
Pt3 0.6187 0.7500 0.0568  6 Ba 3.16-3.25
Pt4 0.8813 0.2500 0.5568  6 Ba 3.16-3.25

## Properties
Symmetry: Pnma, No. 62
ΔE_f, meV per atom: -398.9



Entry 2:
Computed, not measured: a geometry-optimized Cu2SiNi structure at the GGA-PBEsol level of DFT.

a b c (Å): 2.8926 2.8926 5.3510
angles (deg): 90.00 90.00 90.00
Closest atoms and distances in Å follow each position.
Fractional coordinates of all 4 atoms:
Cu1 0.0000 0.0000 0.0000  4 Cu 2.45, 4 Si 2.49, 1 Ni 2.54
Cu2 0.5000 0.5000 0.2535  4 Cu 2.45, 4 Ni 2.51, 1 Si 2.58
Si1 0.5000 0.5000 0.7357  4 Ni 2.34, 5 Cu 2.49-2.58
Ni1 0.0000 0.0000 0.5252  4 Si 2.34, 5 Cu 2.51-2.54

## Properties
Formation energy (no corrections), meV/atom: -179
Symmetry: P4mm, No. 99



Entry 3:
Computed, not measured: a geometry-optimized Ta2Bi4O11 structure at the GGA-PBEsol level of DFT.

a b c (Å): 6.5584 7.6527 9.8746
angles (deg): 78.89 89.93 89.95
Closest atoms and distances in Å follow each position.
Fractional coordinates of all 34 atoms:
Ta1 0.0890 0.2969 0.3114  6 O 1.93-2.08
Ta2 0.0923 0.7981 0.3108  6 O 1.93-2.08
Ta3 0.9077 0.2019 0.6892  6 O 1.93-2.08
Ta4 0.9110 0.7031 0.6886  6 O 1.93-2.08
Bi1 0.2454 0.6290 0.9789  7 O 2.34-2.60
Bi2 0.2456 0.1284 0.9792  7 O 2.30-2.51
Bi3 0.3789 0.4558 0.6659  3 O 2.13-2.25
Bi4 0.4395 0.9532 0.6805  3 O 2.11-2.26
Bi5 0.5605 0.0468 0.3195  3 O 2.11-2.26
Bi6 0.6211 0.5442 0.3341  3 O 2.13-2.25
Bi7 0.7544 0.8716 0.0208  7 O 2.30-2.51
Bi8 0.7546 0.3710 0.0211  7 O 2.34-2.60
O1 0.0013 0.2157 0.4993  2 Ta 1.93-1.96
O2 0.0245 0.5473 0.3126  2 Ta 1.96-1.97
O3 0.0955 0.3600 0.0993  1 Ta 2.06
O4 0.1138 0.8343 0.1034  1 Ta 2.02
O5 0.1716 0.0533 0.2886  2 Ta 1.99
O6 0.2131 0.1499 0.7362  1 Ta 2.08, 1 Bi 2.26
O7 0.2166 0.7281 0.7373  1 Ta 2.08, 1 Bi 2.25
O8 0.3742 0.3387 0.3386  1 Ta 1.93
O9 0.3748 0.7422 0.3522  1 Ta 1.93
O10 0.4140 0.3940 0.8844  2 Bi 2.13-2.34
O11 0.4547 0.9046 0.8975  2 Bi 2.11-2.30
O12 0.5453 0.0954 0.1025  2 Bi 2.11-2.30
O13 0.5860 0.6060 0.1156  2 Bi 2.13-2.34
O14 0.6252 0.2578 0.6478  1 Ta 1.93
O15 0.6258 0.6613 0.6614  1 Ta 1.93
O16 0.7834 0.2719 0.2627  1 Ta 2.08, 1 Bi 2.25
O17 0.7869 0.8501 0.2638  1 Ta 2.08, 1 Bi 2.26
O18 0.8284 0.9467 0.7114  2 Ta 1.99
O19 0.8862 0.1657 0.8966  1 Ta 2.02
O20 0.9045 0.6400 0.9007  1 Ta 2.06
O21 0.9755 0.4527 0.6874  2 Ta 1.96-1.97
O22 0.9987 0.7843 0.5007  2 Ta 1.93-1.96

## Properties
Formation energy (no corrections), meV/atom: -1974
Symmetry: P-1, No. 2



Entry 4:
Computed, not measured: a geometry-optimized MgMoW structure at the GGA-PBEsol level of DFT.

a b c (Å): 2.6457 4.4930 8.1159
angles (deg): 90.00 90.00 90.00
Closest atoms and distances in Å follow each position.
Fractional coordinates of all 6 atoms:
Mg1 0.0000 0.0000 0.0000  2 Mg 2.65, 5 Mo 2.72-2.93, 5 W 2.74-2.92
Mg2 0.5000 0.5000 0.5000  2 Mg 2.65, 5 Mo 2.72-2.93, 5 W 2.74-2.92
Mo1 0.0000 0.0000 0.6643  2 Mo 2.65, 5 W 2.65-2.96, 5 Mg 2.72-2.93
Mo2 0.5000 0.5000 0.1643  2 Mo 2.65, 5 W 2.65-2.96, 5 Mg 2.72-2.93
W1 0.0000 0.0000 0.3374  2 W 2.65, 5 Mo 2.65-2.96, 5 Mg 2.74-2.92
W2 0.5000 0.5000 0.8374  2 W 2.65, 5 Mo 2.65-2.96, 5 Mg 2.74-2.92

## Properties
Symmetry: Imm2, No. 44
ΔE_f, meV per atom: 414.2



Entry 5:
Computed, not measured: a geometry-optimized CaSiW structure at the GGA-PBEsol level of DFT.

a b c (Å): 3.3589 3.3589 10.5742
angles (deg): 90.00 90.00 90.00
Closest atoms and distances in Å follow each position.
Fractional coordinates of all 6 atoms:
Ca1 0.0000 0.0000 0.0000  1 Si 2.95, 5 W 3.03-3.28
Ca2 0.5000 0.5000 0.5000  1 Si 2.95, 5 W 3.03-3.28
Si1 0.0000 0.0000 0.2794  4 W 2.47
Si2 0.5000 0.5000 0.7794  4 W 2.47
W1 0.0000 0.0000 0.7136  4 Si 2.47
W2 0.5000 0.5000 0.2136  4 Si 2.47

## Properties
Formation energy (no corrections), meV/atom: 163
Symmetry: I4mm, No. 107



Entry 6:
Computed, not measured: a geometry-optimized LiNbCrI2 structure at the GGA-PBEsol level of DFT.

a b c (Å): 5.3439 5.3439 5.2926
angles (deg): 90.00 90.00 90.00
Closest atoms and distances in Å follow each position.
Fractional coordinates of all 5 atoms:
Li1 0.0000 0.0000 0.0000  2 Nb 2.65
Nb1 0.0000 0.0000 0.5000  2 Li 2.65, 4 I 2.67
Cr1 0.5000 0.5000 0.0000  8 I 3.76, 4 Li 3.78
I1 0.0000 0.5000 0.5000  2 Nb 2.67
I2 0.5000 0.0000 0.5000  2 Nb 2.67

## Properties
Formation energy (no corrections), meV/atom: 958
Symmetry: P4/mmm, No. 123



Entry 7:
Computed, not measured: a geometry-optimized Ca2HfPt structure at the GGA-PBEsol level of DFT.

a b c (Å): 7.1496 7.1496 7.1496
angles (deg): 90.00 90.00 90.00
Closest atoms and distances in Å follow each position.
Fractional coordinates of all 16 atoms:
Ca1 0.2500 0.2500 0.2500  4 Hf 3.10, 4 Pt 3.10
Ca2 0.2500 0.2500 0.7500  4 Hf 3.10, 4 Pt 3.10
Ca3 0.2500 0.7500 0.2500  4 Hf 3.10, 4 Pt 3.10
Ca4 0.2500 0.7500 0.7500  4 Hf 3.10, 4 Pt 3.10
Ca5 0.7500 0.2500 0.2500  4 Hf 3.10, 4 Pt 3.10
Ca6 0.7500 0.2500 0.7500  4 Hf 3.10, 4 Pt 3.10
Ca7 0.7500 0.7500 0.2500  4 Hf 3.10, 4 Pt 3.10
Ca8 0.7500 0.7500 0.7500  4 Hf 3.10, 4 Pt 3.10
Hf1 0.0000 0.0000 0.0000  8 Ca 3.10
Hf2 0.0000 0.5000 0.5000  8 Ca 3.10
Hf3 0.5000 0.0000 0.5000  8 Ca 3.10
Hf4 0.5000 0.5000 0.0000  8 Ca 3.10
Pt1 0.0000 0.0000 0.5000  8 Ca 3.10
Pt2 0.0000 0.5000 0.0000  8 Ca 3.10
Pt3 0.5000 0.0000 0.0000  8 Ca 3.10
Pt4 0.5000 0.5000 0.5000  8 Ca 3.10

## Properties
Symmetry: Fm-3m, No. 225
ΔE_f, meV per atom: 282.5



Entry 8:
Computed, not measured: a geometry-optimized InCoHg2 structure at the GGA-PBEsol level of DFT.

a b c (Å): 5.6243 9.9820 3.1996
angles (deg): 90.00 121.67 90.00
Closest atoms and distances in Å follow each position.
Fractional coordinates of all 8 atoms:
In1 0.0000 0.0000 0.0000  4 Co 2.81-2.95, 4 Hg 2.86
In2 0.5000 0.5000 0.0000  4 Co 2.81-2.95, 4 Hg 2.86
Co1 0.0000 0.5000 0.0000  4 In 2.81-2.95, 4 Hg 2.86
Co2 0.5000 0.0000 0.0000  4 In 2.81-2.95, 4 Hg 2.86
Hg1 0.2500 0.2500 0.0000  4 Hg 2.81-2.95, 2 In 2.86, 2 Co 2.86
Hg2 0.2500 0.7500 0.0000  4 Hg 2.81-2.95, 2 In 2.86, 2 Co 2.86
Hg3 0.7500 0.2500 0.0000  4 Hg 2.81-2.95, 2 In 2.86, 2 Co 2.86
Hg4 0.7500 0.7500 0.0000  4 Hg 2.81-2.95, 2 In 2.86, 2 Co 2.86

## Properties
Symmetry: C2/m, No. 12
ΔE_f, meV per atom: 360.8



Number 1: total DFT energy (no corrections) -60.0 eV per cell, total moment 0.0 Bohr magnetons per cell. Number 2: total DFT energy (no corrections) -21.3 eV per cell, total moment 0.0 Bohr magnetons per cell. Number 3: total DFT energy (no corrections) -267.1 eV per cell, total moment 0.0 Bohr magnetons per cell. Number 4: total DFT energy (no corrections) -52.1 eV per cell, total moment 0.0 Bohr magnetons per cell. Number 5: total DFT energy (no corrections) -42.4 eV per cell, total moment 0.0 Bohr magnetons per cell. Number 6: total DFT energy (no corrections) -21.8 eV per cell, total moment 5.4 Bohr magnetons per cell. Number 7: total DFT energy (no corrections) -82.4 eV per cell, total moment 4.3 Bohr magnetons per cell. Number 8: total DFT energy (no corrections) -20.8 eV per cell, total moment 2.1 Bohr magnetons per cell.